No. 1
Below is a relaxed structure of SrTlIO2, with properties calculated at the PBE level.

Cell lengths 4.5503, 4.5503, 5.8492 Å; angles 90.00, 90.00, 90.00 degrees
Fractional coordinates of all 5 atoms:
I 0.0000 0.0000 0.5000
Sr 0.5000 0.5000 0.5000
Tl 0.0000 0.0000 0.0000
O 0.0000 0.5000 0.0000
O 0.5000 0.0000 0.0000

Computed properties:
V ... 121 Å³/f.u.
Raw formation energy ... -699 meV per atom
Energy above the lowest structure with this stoichiometry ... 0.0 meV/atom
Symmetry ... No. 123

=====

No. 2
Below is a relaxed structure of ScAl6Ge, with properties calculated at the PBE level.

Cell lengths 5.4654, 5.4654, 5.4550 Å; angles 90.56, 90.56, 89.59 degrees
Fractional coordinates of all 8 atoms:
Sc 0.5000 0.5000 0.5000
Al 0.0350 0.6676 0.3309
Al 0.6676 0.0350 0.3309
Al 0.3324 0.9650 0.6691
Al 0.9650 0.3324 0.6691
Al 0.3317 0.3317 0.0343
Al 0.6683 0.6683 0.9657
Ge 0.0000 0.0000 0.0000

Computed properties:
V ... 163 Å³/f.u.
Symmetry ... No. 12
Energy of formation from the pure elements ... 0.096 eV per atom

=====

No. 3
Below is a relaxed structure of Ce2DyFeN4, with properties calculated at the PBE level.

Cell lengths 3.4122, 5.9759, 11.6535 Å; angles 90.00, 90.00, 106.59 degrees
Site moments in Bohr magnetons follow the coordinates.
Fractional coordinates of all 16 atoms:
Ce 0.3679 0.7359 0.5556  0.09
Ce 0.6321 0.2641 0.0556  0.09
Ce 0.6321 0.2641 0.4444  0.09
Ce 0.3679 0.7359 0.9444  0.09
Dy 0.1103 0.2205 0.7500  -0.02
Dy 0.8897 0.7795 0.2500  -0.02
Fe 0.8470 0.6940 0.7500  1.80
Fe 0.1530 0.3060 0.2500  1.80
N 0.2711 0.5422 0.1292  0.05
N 0.7289 0.4578 0.6292  0.05
N 0.7289 0.4578 0.8708  0.05
N 0.2711 0.5422 0.3708  0.05
N 0.0000 0.0000 0.5000  0.02
N 0.0000 0.0000 0.0000  0.02
N 0.4483 0.8967 0.7500  0.01
N 0.5517 0.1033 0.2500  0.01

Computed properties:
V ... 114 Å³/f.u.
Raw formation energy ... -1099 meV per atom
Symmetry ... No. 63